Computed, not measured: an optimized crystal structure of Pm2ZnGe3 at the PBE level of DFT.

**DOS(E_F)**: 4.3 states/eV per cell
**Energy**: -4.7441 eV per atom
**Energy relative to the elements**: -0.640 eV/atom

a = 8.5377 Å, b = 8.4671 Å, c = 5.9508 Å
α = 70.15°, β = 68.88°, γ = 40.97°
Atoms (fractional coordinates):
Pm  0.2430  0.7570  0.7570
Pm  0.2500  0.2500  0.2500
Pm  0.7500  0.7500  0.7500
Pm  0.7570  0.2430  0.2430
Zn  0.3339  0.3339  0.6661
Zn  0.6661  0.6661  0.3339
Ge  0.1698  0.1698  0.8302
Ge  0.1731  0.6582  0.3418
Ge  0.3418  0.8269  0.1731
Ge  0.6582  0.1731  0.8269
Ge  0.8269  0.3418  0.6582
Ge  0.8302  0.8302  0.1698